Density functional theory data (GGA+U) for an optimized crystal structure of FeSiO3.

```
FeSiO3
1.0
0.1645 0.9816 -2.7232
-6.1979 -5.2664 0.7989
-3.3440 4.1306 1.2870
Si O Fe
2 6 2
Cartesian
-6.7432 0.3080 -1.0847
-2.6342 -0.4622 0.4474
-6.8983 -2.2151 1.0834
-6.1504 0.2971 0.4908
-0.8880 0.0957 -2.3330
-2.4790 2.0609 -1.7207
-3.2270 -0.4513 -1.1281
-8.4894 -0.2499 1.6957
-3.0984 2.8938 0.0864
-6.2789 -3.0480 -0.7237
```

SG: P2_1/m
Calculated total energy, eV per cell: -73.62